V2PbO6: optimized geometry, GGA+U.

Summary:
**Energy above the lowest structure with this stoichiometry**: 0.030 eV per atom
**Space-group type**: Pnma (62)

Cell lengths 9.924, 3.694, 13.109 Å; angles 90.00, 90.00, 90.00 degrees
Fractional coordinates of all 36 atoms:
V: 0.005 0.250 0.135
V: 0.237 0.250 0.904
V: 0.263 0.750 0.404
V: 0.495 0.750 0.635
V: 0.505 0.250 0.365
V: 0.737 0.250 0.596
V: 0.763 0.750 0.096
V: 0.995 0.750 0.865
Pb: 0.131 0.250 0.616
Pb: 0.369 0.750 0.116
Pb: 0.631 0.250 0.884
Pb: 0.869 0.750 0.384
O: 0.019 0.750 0.737
O: 0.032 0.250 0.899
O: 0.111 0.750 0.472
O: 0.172 0.250 0.105
O: 0.186 0.750 0.926
O: 0.223 0.750 0.283
O: 0.277 0.250 0.783
O: 0.314 0.250 0.426
O: 0.328 0.750 0.605
O: 0.389 0.250 0.972
O: 0.468 0.750 0.399
O: 0.481 0.250 0.237
O: 0.519 0.750 0.763
O: 0.532 0.250 0.601
O: 0.611 0.750 0.028
O: 0.672 0.250 0.395
O: 0.686 0.750 0.574
O: 0.723 0.750 0.217
O: 0.777 0.250 0.717
O: 0.814 0.250 0.074
O: 0.828 0.750 0.895
O: 0.889 0.250 0.528
O: 0.968 0.750 0.101
O: 0.981 0.250 0.263